Entry 1:
# KFeIr4 PBE relaxed
# Uncorrected energy in eV/cell: -164.4
data_KFeIr4
_chemical_formula_sum 'K4 Fe4 Ir16'
_cell_length_a 7.4854
_cell_length_b 7.4854
_cell_length_c 7.4854
_cell_angle_alpha 90.00
_cell_angle_beta 90.00
_cell_angle_gamma 90.00
_space_group_name_H-M_alt 'F -4 3 m'
_space_group_IT_number 216
_space_group_name_Hall 'F -4 2 3'
loop_
_atom_site_label
_atom_site_fract_x
_atom_site_fract_y
_atom_site_fract_z
K1 0.0000 0.0000 0.0000
Fe1 0.2500 0.2500 0.7500
Ir1 0.1245 0.1245 0.3755

---

Entry 2:
# K2FeIr PBE relaxed
# Uncorrected energy in eV/cell: -15.2
data_K2FeIr
_chemical_formula_sum 'K2 Fe1 Ir1'
_cell_length_a 2.7947
_cell_length_b 5.4970
_cell_length_c 5.6199
_cell_angle_alpha 90.00
_cell_angle_beta 100.27
_cell_angle_gamma 90.00
_space_group_name_H-M_alt 'P 1 2/m 1'
_space_group_IT_number 10
_space_group_name_Hall '-P 2y'
loop_
_atom_site_label
_atom_site_fract_x
_atom_site_fract_y
_atom_site_fract_z
K1 0.0047 0.0000 0.2476
Fe1 0.5000 0.5000 0.5000
Ir1 0.5000 0.5000 0.0000

---

Entry 3:
# KFeIr PBE relaxed
# Uncorrected energy in eV/cell: -16.1
data_KFeIr
_chemical_formula_sum 'K1 Fe1 Ir1'
_cell_length_a 2.8302
_cell_length_b 2.8302
_cell_length_c 7.8058
_cell_angle_alpha 90.00
_cell_angle_beta 90.00
_cell_angle_gamma 120.00
_space_group_name_H-M_alt 'P 3 m 1'
_space_group_IT_number 156
_space_group_name_Hall 'P 3 -2"'
loop_
_atom_site_label
_atom_site_fract_x
_atom_site_fract_y
_atom_site_fract_z
K1 0.0000 0.0000 0.0000
Fe1 0.6667 0.3333 0.3842
Ir1 0.3333 0.6667 0.6389

---

no.,energy relative to the elements (eV/f.u.),V (A^3/atom)
1,3.9,17.48
2,4.3,21.24
3,2.3,18.05